[1]
DFT (PBE-GGA) results for a geometry-optimized Sm6Te3P2C structure.

Values from the calculation:
E_form (uncorrected) (eV/atom): -1.32
Space group: C2/m, No. 12

abc: 7.156 7.156 7.555
angles: 99.08 99.08 119.96
Positions (direct):
C 0.000 0.000 0.000
Sm 0.932 0.622 0.797
Sm 0.242 0.242 0.791
Sm 0.378 0.068 0.203
Sm 0.758 0.758 0.209
Sm 0.068 0.378 0.203
Sm 0.622 0.932 0.797
Te 0.827 0.173 0.500
Te 0.173 0.827 0.500
Te 0.500 0.500 0.500
P 0.334 0.666 0.000
P 0.666 0.334 0.000



[2]
DFT (PBE-GGA) results for a geometry-optimized Tb2HoGa structure.

Values from the calculation:
Polymorph energy (0 for the lowest one) (meV/atom): 0
Space group: Cmcm, No. 63
Energy relative to the elements (eV per atom): -0.28

abc: 3.636 6.628 9.641
angles: 90.00 90.00 105.92
Positions (direct):
Tb 0.365 0.730 0.952
Tb 0.635 0.270 0.452
Tb 0.365 0.730 0.548
Tb 0.635 0.270 0.048
Ga 0.257 0.513 0.250
Ga 0.743 0.487 0.750
Ho 0.054 0.109 0.750
Ho 0.946 0.891 0.250



[3]
DFT (PBE-GGA) results for a geometry-optimized Pr4NdSi4 structure.

Values from the calculation:
E_form (uncorrected) (eV/atom): -0.44
Space group: P4_2/n, No. 86

abc: 6.076 9.147 9.147
angles: 90.00 90.00 90.00
Positions (direct):
Pr 0.365 0.698 0.079
Pr 0.135 0.802 0.421
Pr 0.865 0.421 0.198
Pr 0.635 0.079 0.302
Pr 0.865 0.579 0.802
Pr 0.365 0.302 0.921
Pr 0.135 0.198 0.579
Pr 0.635 0.921 0.698
Nd 0.000 0.000 0.000
Nd 0.500 0.500 0.500
Si 0.353 0.635 0.764
Si 0.147 0.865 0.736
Si 0.147 0.135 0.264
Si 0.853 0.264 0.865
Si 0.647 0.764 0.365
Si 0.647 0.236 0.635
Si 0.353 0.365 0.236
Si 0.853 0.736 0.135



So what do the calculations give for total moment? Going down the list: 0.00, 0.01, 0.00 μB/cell.
So what do the calculations give for V? Going down the list: 318.10, 223.41, 508.36 Å³/cell.